The following is a DFT calculation (meta-GGA SCAN) of a crystal of TcPtCl2 relaxed with PBEsol.

```
data_TcPtCl2
_space_group_name_H-M_alt 'P 4 m m'
_space_group_IT_number 99
_space_group_name_Hall 'P 4 -2'
_cell_length_a 2.942
_cell_length_b 2.942
_cell_length_c 7.974
_cell_angle_alpha 90.00
_cell_angle_beta 90.00
_cell_angle_gamma 90.00
loop_
_atom_site_label
_atom_site_type_symbol
_atom_site_fract_x
_atom_site_fract_y
_atom_site_fract_z
_atom_site_occupancy
Tc1 Tc 0.000 0.000 0.000 1
Pt1 Pt 0.500 0.500 0.798 1
Cl1 Cl 0.000 0.000 0.579 1
Cl2 Cl 0.500 0.500 0.196 1
```

Properties
- magnetic moment (μB per cell) = 0.0
- energy relative to the lowest polymorph listed for this composition (meV/atom) = 0
- formation energy without anion corrections (meV/atom) = -13.1
- energy (eV/atom) = -30.3153